# CoSiO3

An optimized crystal structure of CoSiO3 (GGA+U, OQMD).

Unit cell a=4.924 b=4.924 c=4.924 alpha=118.43 beta=90.01 gamma=121.59
Positions (direct):
1 Co 0.781 0.531 0.250
2 Co 0.219 0.469 0.750
3 O 0.190 0.500 0.190
4 O 0.367 0.117 0.250
5 O 0.810 0.000 0.310
6 O 0.190 0.000 0.690
7 O 0.633 0.883 0.750
8 O 0.810 0.500 0.810
9 Si 0.000 0.000 0.000
10 Si 0.500 0.000 0.500

Output
Total DFT energy (no corrections), eV per atom: -6.8771